Record 1
The following is a DFT calculation (GGA-PBE) of Ta2HgIr after structural relaxation.

Cell and atoms, written as POSCAR:
```
Ta2HgIr
1.0
-3.795 3.795 2.753
3.795 -3.795 2.753
3.795 3.795 -2.753
Ta Hg Ir
4 2 2
Cartesian
5.692 1.540 -0.688
1.540 1.897 0.688
-1.897 2.255 2.065
2.255 1.897 3.441
3.795 0.000 1.376
0.000 0.000 2.753
0.000 0.000 0.000
0.000 3.795 1.376
```

## Properties
electronic total energy = -7.82 eV per atom
calculated formation energy = 0.400 eV/atom
V = 159 Å³ per cell

***

Record 2
The following is a DFT calculation (GGA-PBE) of TaHg3Ir after structural relaxation.

Cell and atoms, written as POSCAR:
```
TaHg3Ir
1.0
5.097 0.000 0.000
0.000 5.097 0.000
0.000 0.000 5.097
Ta Hg Ir
1 3 1
Cartesian
0.000 0.000 0.000
0.000 2.549 2.549
2.549 0.000 2.549
2.549 2.549 0.000
2.549 2.549 2.549
```

## Properties
electronic total energy = -2.80 eV per atom
calculated formation energy = 1.527 eV/atom
V = 132 Å³ per cell

***

Record 3
The following is a DFT calculation (GGA-PBE) of YTaHgIr2 after structural relaxation.

Cell and atoms, written as POSCAR:
```
YTaHgIr2
1.0
4.810 0.000 0.000
0.000 4.810 0.000
0.000 0.000 5.229
Y Ta Hg Ir
1 1 1 2
Cartesian
0.000 0.000 0.000
2.405 2.405 2.615
2.405 2.405 0.000
0.000 2.405 2.615
2.405 0.000 2.615
```

## Properties
electronic total energy = -6.75 eV per atom
calculated formation energy = 0.520 eV/atom
V = 121 Å³ per cell

***

Record 4
The following is a DFT calculation (GGA-PBE) of Tb8HgIr2 after structural relaxation.

Cell and atoms, written as POSCAR:
```
Tb8HgIr2
1.0
4.340 -6.607 0.000
4.340 6.607 0.000
-1.312 0.000 5.368
Tb Hg Ir
8 1 2
Cartesian
0.000 0.000 0.000
0.772 1.718 3.308
3.054 3.243 1.059
0.772 -1.718 3.308
4.029 1.718 4.176
3.054 -3.243 1.059
4.029 -1.718 4.176
6.118 0.000 2.120
3.060 0.000 1.054
2.402 4.075 3.744
2.402 -4.075 3.744
```

## Properties
electronic total energy = -5.40 eV per atom
calculated formation energy = -0.397 eV/atom
V = 308 Å³ per cell

***

Record 5
The following is a DFT calculation (GGA-PBE) of Tb12Hg6Ir after structural relaxation.

Cell and atoms, written as POSCAR:
```
Tb12Hg6Ir
1.0
6.031 3.482 4.444
-6.031 3.482 4.444
0.000 -6.964 4.444
Tb Hg Ir
12 6 1
Cartesian
-5.329 -1.505 7.438
-1.361 -5.368 5.893
-1.333 -1.671 5.006
-3.968 3.863 5.893
-0.781 1.990 5.006
-2.114 0.319 8.326
2.114 -0.319 5.006
0.781 -1.990 8.326
3.968 -3.863 7.438
1.333 1.671 8.326
1.361 5.368 7.438
5.329 1.505 5.893
-3.722 0.669 5.670
-2.440 -2.889 7.661
1.282 -3.558 5.670
-1.282 3.558 7.661
2.440 2.889 5.670
3.722 -0.669 7.661
0.000 0.000 6.666
```

## Properties
electronic total energy = -3.78 eV per atom
calculated formation energy = -0.291 eV/atom
V = 560 Å³ per cell

***

Record 6
The following is a DFT calculation (GGA-PBE) of Tb11Hg9Ir4 after structural relaxation.

Cell and atoms, written as POSCAR:
```
Tb11Hg9Ir4
1.0
7.241 -10.822 0.000
7.241 10.822 0.000
0.000 0.000 3.711
Tb Hg Ir
11 9 4
Cartesian
0.000 0.000 0.000
3.633 3.589 0.000
7.241 7.210 0.000
4.304 0.000 0.000
7.241 2.867 0.000
3.633 -3.589 0.000
10.849 3.589 0.000
7.241 -2.867 0.000
10.178 0.000 0.000
7.241 -7.210 0.000
10.849 -3.589 0.000
1.954 1.631 1.856
5.645 5.234 1.856
1.954 -1.631 1.856
8.837 5.234 1.856
7.241 0.000 1.856
5.645 -5.234 1.856
12.528 1.631 1.856
8.837 -5.234 1.856
12.528 -1.631 1.856
5.131 2.105 1.856
5.131 -2.105 1.856
9.351 2.105 1.856
9.351 -2.105 1.856
```

## Properties
electronic total energy = -4.32 eV per atom
calculated formation energy = -0.609 eV/atom
V = 582 Å³ per cell

***

Record 7
The following is a DFT calculation (GGA-PBE) of TbHgIr after structural relaxation.

Cell and atoms, written as POSCAR:
```
TbHgIr
1.0
-1.832 1.832 4.710
1.832 -1.832 4.710
1.832 1.832 -4.710
Tb Hg Ir
1 1 1
Cartesian
0.000 0.000 0.000
0.000 0.000 6.455
0.000 0.000 3.345
```

## Properties
electronic total energy = -4.97 eV per atom
calculated formation energy = -0.370 eV/atom
V = 63 Å³ per cell

***

Record 8
The following is a DFT calculation (GGA-PBE) of TbHgIr after structural relaxation.

Cell and atoms, written as POSCAR:
```
TbHgIr
1.0
1.963 -8.525 0.000
1.963 8.525 0.000
0.000 0.000 4.070
Tb Hg Ir
2 2 2
Cartesian
1.963 6.878 3.053
1.963 -6.878 1.018
1.963 3.537 3.053
1.963 -3.537 1.018
1.963 0.762 3.053
1.963 -0.762 1.018
```

## Properties
electronic total energy = -5.18 eV per atom
calculated formation energy = -0.582 eV/atom
V = 136 Å³ per cell

***

Record 9
The following is a DFT calculation (GGA-PBE) of Tb4Hg3Ir after structural relaxation.

Cell and atoms, written as POSCAR:
```
Tb4Hg3Ir
1.0
3.611 0.000 0.000
0.000 3.611 0.000
0.000 0.000 15.095
Tb Hg Ir
4 3 1
Cartesian
0.000 0.000 1.609
0.000 0.000 5.598
0.000 0.000 9.497
0.000 0.000 13.486
1.805 1.805 3.699
1.805 1.805 7.547
1.805 1.805 11.396
1.805 1.805 0.000
```

## Properties
electronic total energy = -4.11 eV per atom
calculated formation energy = -0.574 eV/atom
V = 197 Å³ per cell

***

Record 10
The following is a DFT calculation (GGA-PBE) of Tb5Hg4Ir after structural relaxation.

Cell and atoms, written as POSCAR:
```
Tb5Hg4Ir
1.0
3.629 0.000 0.000
0.000 3.629 0.000
0.000 0.000 18.877
Tb Hg Ir
5 4 1
Cartesian
0.000 0.000 0.000
0.000 0.000 3.888
0.000 0.000 7.836
0.000 0.000 11.041
0.000 0.000 14.989
1.815 1.815 1.938
1.815 1.815 5.765
1.815 1.815 13.112
1.815 1.815 16.939
1.815 1.815 9.438
```

## Properties
electronic total energy = -3.88 eV per atom
calculated formation energy = -0.553 eV/atom
V = 249 Å³ per cell

***

Record 11
The following is a DFT calculation (GGA-PBE) of TbHgIr after structural relaxation.

Cell and atoms, written as POSCAR:
```
TbHgIr
1.0
3.719 -2.159 0.000
3.719 2.159 0.000
-2.486 0.000 9.529
Tb Hg Ir
2 2 2
Cartesian
0.002 0.000 1.777
4.951 0.000 7.752
0.001 0.000 5.622
4.952 0.000 3.907
2.478 0.000 0.004
2.475 0.000 9.525
```

## Properties
electronic total energy = -5.12 eV per atom
calculated formation energy = -0.523 eV/atom
V = 153 Å³ per cell

***

Record 12
The following is a DFT calculation (GGA-PBE) of Tb3Hg2Ir after structural relaxation.

Cell and atoms, written as POSCAR:
```
Tb3Hg2Ir
1.0
5.089 0.000 0.000
0.000 7.437 0.000
-2.538 0.000 7.629
Tb Hg Ir
6 4 2
Cartesian
0.000 1.752 0.000
0.000 5.685 0.000
0.004 1.676 4.972
0.004 5.761 4.972
2.546 1.676 2.657
2.546 5.761 2.657
-0.002 3.718 2.518
2.545 0.000 0.000
2.545 3.718 0.000
2.552 3.718 5.110
0.005 0.000 2.419
2.545 0.000 5.210
```

## Properties
electronic total energy = -4.50 eV per atom
calculated formation energy = -0.610 eV/atom
V = 289 Å³ per cell